The following is a PBE-GGA calculation of crystalline TiGe at its relaxed geometry, from the Alexandria database.

The total magnetization is 0.223 μB per formula unit. The value obtained for the calculated total energy is -78.59 eV for the cell shown.

The structure belongs to space group Cmmm (No. 65); the cell edges are 5.477, 9.543 and 4.366 Å and the angles 90.00°, 90.00° and 90.00°. The distinct sites, in fractional coordinates, are Ti at (0.000, 0.000, 0.000), Ti at (0.250, 0.250, 0.000), Ge at (0.000, 0.165, 0.500) and Ge at (0.000, 0.500, 0.000).